(1)
A plane-wave DFT calculation with GGA-PBE was carried out for an optimized crystal structure of TmScGaCu.

Computed properties:
- final energy (eV per atom) = -4.926
- DFT formation energy (eV/atom) = -0.444
- total moment (μB/cell) = 0.000

a b c (Å): 6.807 6.807 6.807
angles (deg): 90.00 90.00 90.00
Space group F-43m (No. 216)
Inequivalent atoms, fractional coordinates:
Tm: 0.000 0.000 0.000 [4 per cell]
Sc: 0.000 0.000 0.500 [4 per cell]
Ga: 0.250 0.250 0.750 [4 per cell]
Cu: 0.250 0.250 0.250 [4 per cell]

(2)
A plane-wave DFT calculation with GGA-PBE was carried out for an optimized crystal structure of YScGa2Cu2.

Computed properties:
- final energy (eV per atom) = -5.032
- DFT formation energy (eV/atom) = -0.525
- total moment (μB/cell) = 0.000

a b c (Å): 4.3002 4.3002 6.7944
angles (deg): 90.00 90.00 120.00
Space group P-3m1 (No. 164)
Inequivalent atoms, fractional coordinates:
Y: 0.0000 0.0000 0.0000 [1 per cell]
Sc: 0.0000 0.0000 0.5000 [1 per cell]
Ga: 0.3333 0.6667 0.2819 [2 per cell]
Cu: 0.3333 0.6667 0.7112 [2 per cell]

(3)
A plane-wave DFT calculation with GGA-PBE was carried out for an optimized crystal structure of YSc2Ga2Cu2.

Computed properties:
- final energy (eV per atom) = -5.193
- DFT formation energy (eV/atom) = -0.426
- total moment (μB/cell) = 0.000

a b c (Å): 4.3119 4.3119 25.4396
angles (deg): 90.00 90.00 120.00
Space group R-3m (No. 166, hexagonal axes)
Inequivalent atoms, fractional coordinates:
Y: 0.0000 0.0000 0.0000 [3 per cell]
Sc: 0.0000 0.0000 0.1286 [6 per cell]
Ga: 0.0000 0.0000 0.2545 [6 per cell]
Cu: 0.0000 0.0000 0.4103 [6 per cell]